(1)
# SmZr4In5

An optimized crystal structure of SmZr4In5 (GGA-PBE, Alexandria).

```
data_SmZr4In5
_cell_length_a 3.2161
_cell_length_b 3.2161
_cell_length_c 22.3450
_cell_angle_alpha 90.00
_cell_angle_beta 90.00
_cell_angle_gamma 90.00
_space_group_name_H-M_alt 'P 4/m m m'
_space_group_IT_number 123
_space_group_name_Hall '-P 4 2'
loop_
_atom_site_label
_atom_site_type_symbol
_atom_site_fract_x
_atom_site_fract_y
_atom_site_fract_z
_atom_site_occupancy
Sm1 Sm 0.0000 0.0000 0.0000 1
Zr1 Zr 0.0000 0.0000 0.2083 1
Zr2 Zr 0.0000 0.0000 0.4024 1
In1 In 0.5000 0.5000 0.1103 1
In2 In 0.5000 0.5000 0.3055 1
In3 In 0.5000 0.5000 0.5000 1
```

Summary:
ΔE_f = -326 meV/atom
Total magnetization = 0.00 μB/f.u.
ΔE to the lowest computed polymorph = 0 meV per atom

---

(2)
# ScTaSn3

An optimized crystal structure of ScTaSn3 (GGA-PBE, Alexandria).

```
data_ScTaSn3
_cell_length_a 5.3233
_cell_length_b 5.3233
_cell_length_c 5.3233
_cell_angle_alpha 90.00
_cell_angle_beta 90.00
_cell_angle_gamma 90.00
_space_group_name_H-M_alt 'P m -3 m'
_space_group_IT_number 221
_space_group_name_Hall '-P 4 2 3'
loop_
_atom_site_label
_atom_site_type_symbol
_atom_site_fract_x
_atom_site_fract_y
_atom_site_fract_z
_atom_site_occupancy
Sc1 Sc 0.0000 0.0000 0.0000 1
Ta1 Ta 0.5000 0.5000 0.5000 1
Sn1 Sn 0.0000 0.5000 0.5000 1
```

Summary:
ΔE_f = 487 meV/atom
Total magnetization = 0.00 μB/f.u.
ΔE to the lowest computed polymorph = 0 meV per atom

---

In eV per atom, the calculated total energy values for the records above are, in order, -5.586 -5.552.